# GGA-PBE Nd8Y4Tm, optimized geometry
# **E_tot**: -4.787 eV per atom
# **ΔH_f (0 K)**: 0.48 eV per atom
# **Size of the total moment**: 0.00 μB/cell
data_Nd8Y4Tm
_chemical_formula_sum 'Nd24 Y12 Tm3'
_symmetry_space_group_name_H-M 'R -3 m'
_symmetry_Int_Tables_number 166
_symmetry_space_group_name_Hall '-R 3 2"'
_cell_length_a 11.2192
_cell_length_b 11.2192
_cell_length_c 13.6193
_cell_angle_alpha 90.00
_cell_angle_beta 90.00
_cell_angle_gamma 120.00
loop_
_atom_site_label
_atom_site_type_symbol
_atom_site_fract_x
_atom_site_fract_y
_atom_site_fract_z
_atom_site_occupancy
Nd1 Nd 0.0000 0.0000 0.2407 1
Nd2 Nd 0.0104 0.5052 0.7455 1
Y1 Y 0.0000 0.0000 0.0000 1
Y2 Y 0.0000 0.5000 0.0000 1
Tm1 Tm 0.0000 0.0000 0.5000 1

# GGA-PBE Hg2OsBr8, optimized geometry
# **E_tot**: -2.556 eV per atom
# **Raw formation energy**: -264 meV per atom
# **Size of the total moment**: 4.14 μB/cell
data_Hg2OsBr8
_chemical_formula_sum 'Hg4 Os2 Br16'
_symmetry_space_group_name_H-M 'C 1 2/m 1'
_symmetry_Int_Tables_number 12
_symmetry_space_group_name_Hall '-C 2y'
_cell_length_a 15.3341
_cell_length_b 7.7575
_cell_length_c 7.0351
_cell_angle_alpha 90.00
_cell_angle_beta 94.61
_cell_angle_gamma 90.00
loop_
_atom_site_label
_atom_site_type_symbol
_atom_site_fract_x
_atom_site_fract_y
_atom_site_fract_z
_atom_site_occupancy
Hg1 Hg 0.1764 0.0000 0.1386 1
Os1 Os 0.0000 0.0000 0.5000 1
Br1 Br 0.0620 0.2235 0.2910 1
Br2 Br 0.1395 0.0000 0.7010 1
Br3 Br 0.1643 0.5000 0.9145 1

# GGA-PBE NdHoSbS, optimized geometry
# **E_tot**: -5.805 eV per atom
# **Raw formation energy**: -1406 meV per atom
# **Size of the total moment**: 1.62 μB/cell
data_NdHoSbS
_chemical_formula_sum 'Nd3 Ho3 Sb3 S3'
_symmetry_space_group_name_H-M 'R 3 m'
_symmetry_Int_Tables_number 160
_symmetry_space_group_name_Hall 'R 3 -2"'
_cell_length_a 4.1107
_cell_length_b 4.1107
_cell_length_c 22.2966
_cell_angle_alpha 90.00
_cell_angle_beta 90.00
_cell_angle_gamma 120.00
loop_
_atom_site_label
_atom_site_type_symbol
_atom_site_fract_x
_atom_site_fract_y
_atom_site_fract_z
_atom_site_occupancy
Nd1 Nd 0.0000 0.0000 0.0000 1
Ho1 Ho 0.0000 0.0000 0.1613 1
Sb1 Sb 0.0000 0.0000 0.5765 1
S1 S 0.0000 0.0000 0.7537 1

# GGA-PBE Sc2ZnCr2Ru5, optimized geometry
# **E_tot**: -8.048 eV per atom
# **ΔH_f (0 K)**: -0.09 eV per atom
# **Size of the total moment**: 0.00 μB/cell
data_Sc2ZnCr2Ru5
_chemical_formula_sum 'Sc4 Zn2 Cr4 Ru10'
_symmetry_space_group_name_H-M 'P 4/m b m'
_symmetry_Int_Tables_number 127
_symmetry_space_group_name_Hall '-P 4 2ab'
_cell_length_a 9.8167
_cell_length_b 9.8167
_cell_length_c 3.1986
_cell_angle_alpha 90.00
_cell_angle_beta 90.00
_cell_angle_gamma 90.00
loop_
_atom_site_label
_atom_site_type_symbol
_atom_site_fract_x
_atom_site_fract_y
_atom_site_fract_z
_atom_site_occupancy
Sc1 Sc 0.1700 0.3300 0.0000 1
Zn1 Zn 0.0000 0.0000 0.0000 1
Cr1 Cr 0.1340 0.6340 0.0000 1
Ru1 Ru 0.0000 0.5000 0.5000 1
Ru2 Ru 0.0670 0.7970 0.5000 1

# GGA-PBE Sr2MnCl8, optimized geometry
# **E_tot**: -3.978 eV per atom
# **Raw formation energy**: -1496 meV per atom
# **Size of the total moment**: 8.71 μB/cell
data_Sr2MnCl8
_chemical_formula_sum 'Sr4 Mn2 Cl16'
_symmetry_space_group_name_H-M 'C 1 2/m 1'
_symmetry_Int_Tables_number 12
_symmetry_space_group_name_Hall '-C 2y'
_cell_length_a 17.2517
_cell_length_b 5.7990
_cell_length_c 5.8404
_cell_angle_alpha 90.00
_cell_angle_beta 109.41
_cell_angle_gamma 90.00
loop_
_atom_site_label
_atom_site_type_symbol
_atom_site_fract_x
_atom_site_fract_y
_atom_site_fract_z
_atom_site_occupancy
Sr1 Sr 0.1654 0.0000 0.1579 1
Mn1 Mn 0.0000 0.5000 0.5000 1
Cl1 Cl 0.0043 0.0000 0.7498 1
Cl2 Cl 0.0804 0.5000 0.2644 1
Cl3 Cl 0.1228 0.5000 0.8074 1
Cl4 Cl 0.2222 0.0000 0.7004 1

# GGA-PBE CrRh2Au, optimized geometry
# **E_tot**: -6.763 eV per atom
# **ΔH_f (0 K)**: 0.14 eV per atom
# **Size of the total moment**: 5.12 μB/cell
data_CrRh2Au
_chemical_formula_sum 'Cr2 Rh4 Au2'
_symmetry_space_group_name_H-M 'I m m m'
_symmetry_Int_Tables_number 71
_symmetry_space_group_name_Hall '-I 2 2'
_cell_length_a 2.8251
_cell_length_b 4.6231
_cell_length_c 9.2431
_cell_angle_alpha 90.00
_cell_angle_beta 90.00
_cell_angle_gamma 90.00
loop_
_atom_site_label
_atom_site_type_symbol
_atom_site_fract_x
_atom_site_fract_y
_atom_site_fract_z
_atom_site_occupancy
Cr1 Cr 0.0000 0.0000 0.0000 1
Rh1 Rh 0.0000 0.5000 0.2738 1
Au1 Au 0.0000 0.0000 0.5000 1

# GGA-PBE AcSi2Se4, optimized geometry
# **E_tot**: -4.612 eV per atom
# **Raw formation energy**: -485 meV per atom
# **Size of the total moment**: 0.00 μB/cell
data_AcSi2Se4
_chemical_formula_sum 'Ac2 Si4 Se8'
_symmetry_space_group_name_H-M 'I 4/m'
_symmetry_Int_Tables_number 87
_symmetry_space_group_name_Hall '-I 4'
_cell_length_a 7.7440
_cell_length_b 7.7440
_cell_length_c 6.1670
_cell_angle_alpha 90.00
_cell_angle_beta 90.00
_cell_angle_gamma 90.00
loop_
_atom_site_label
_atom_site_type_symbol
_atom_site_fract_x
_atom_site_fract_y
_atom_site_fract_z
_atom_site_occupancy
Ac1 Ac 0.0000 0.0000 0.0000 1
Si1 Si 0.0000 0.5000 0.2500 1
Se1 Se 0.1402 0.7071 0.5000 1

# GGA-PBE RbPuGeCl6, optimized geometry
# **E_tot**: -4.946 eV per atom
# **Raw formation energy**: -1502 meV per atom
# **Size of the total moment**: 20.00 μB/cell
data_RbPuGeCl6
_chemical_formula_sum 'Rb4 Pu4 Ge4 Cl24'
_symmetry_space_group_name_H-M 'I m m a'
_symmetry_Int_Tables_number 74
_symmetry_space_group_name_Hall '-I 2b 2'
_cell_length_a 9.7673
_cell_length_b 10.0479
_cell_length_c 14.0992
_cell_angle_alpha 90.00
_cell_angle_beta 90.00
_cell_angle_gamma 90.00
loop_
_atom_site_label
_atom_site_type_symbol
_atom_site_fract_x
_atom_site_fract_y
_atom_site_fract_z
_atom_site_occupancy
Rb1 Rb 0.0000 0.2500 0.0363 1
Pu1 Pu 0.0000 0.0000 0.5000 1
Ge1 Ge 0.2500 0.2500 0.7500 1
Cl1 Cl 0.0000 0.2500 0.4233 1
Cl2 Cl 0.0000 0.2500 0.8095 1
Cl3 Cl 0.2136 0.0576 0.6171 1